Record 1
Compound: ZnCo4Pt5
Source: Alexandria
Functional: GGA-PBE
Structure: optimized geometry

Unit cell a=2.7270 b=2.7270 c=18.5021 alpha=90.00 beta=90.00 gamma=90.00
Sites, in units of the cell vectors:
1 Zn 0.0000 0.0000 0.0000
2 Co 0.0000 0.0000 0.2017
3 Co 0.0000 0.0000 0.4008
4 Co 0.0000 0.0000 0.5992
5 Co 0.0000 0.0000 0.7983
6 Pt 0.5000 0.5000 0.1040
7 Pt 0.5000 0.5000 0.3014
8 Pt 0.5000 0.5000 0.5000
9 Pt 0.5000 0.5000 0.6986
10 Pt 0.5000 0.5000 0.8960

Calculated values
energy of formation = -1.7 eV/f.u.
E_tot = -6.1647 eV/atom
magnetization = 9.078 μB per formula unit

***

Record 2
Compound: ZnCoPt2
Source: Alexandria
Functional: GGA-PBE
Structure: optimized geometry

Unit cell a=2.7535 b=2.7535 c=7.4196 alpha=90.00 beta=90.00 gamma=90.01
Sites, in units of the cell vectors:
1 Co 0.5000 0.5000 0.7460
2 Pt 0.0000 0.0000 0.9775
3 Pt 0.5000 0.5000 0.2634
4 Zn 0.0000 0.0000 0.5131

Calculated values
energy of formation = -0.7 eV/f.u.
E_tot = -5.2938 eV/atom
magnetization = 1.786 μB per formula unit

***

Record 3
Compound: ZnCoPt6
Source: Alexandria
Functional: GGA-PBE
Structure: optimized geometry

Unit cell a=3.9118 b=3.9118 c=7.8202 alpha=90.00 beta=90.00 gamma=90.00
Sites, in units of the cell vectors:
1 Zn 0.0000 0.0000 0.0000
2 Co 0.0000 0.0000 0.5000
3 Pt 0.5000 0.5000 0.0000
4 Pt 0.5000 0.5000 0.5000
5 Pt 0.5000 0.0000 0.2544
6 Pt 0.5000 0.0000 0.7456
7 Pt 0.0000 0.5000 0.2544
8 Pt 0.0000 0.5000 0.7456

Calculated values
energy of formation = -1.6 eV/f.u.
E_tot = -5.7821 eV/atom
magnetization = 3.540 μB per formula unit

***

Record 4
Compound: ZnCoPt2
Source: Alexandria
Functional: GGA-PBE
Structure: optimized geometry

Unit cell a=4.7176 b=4.7176 c=4.6237 alpha=79.68 beta=79.68 gamma=34.09
Sites, in units of the cell vectors:
1 Co 0.2516 0.2516 0.2265
2 Pt 0.9953 0.9953 0.0339
3 Pt 0.7515 0.7515 0.7227
4 Zn 0.5016 0.5016 0.5170

Calculated values
energy of formation = -1.0 eV/f.u.
E_tot = -5.3601 eV/atom
magnetization = 2.184 μB per formula unit

***

Record 5
Compound: ZnCoPt2
Source: Alexandria
Functional: GGA-PBE
Structure: optimized geometry

Unit cell a=4.5911 b=4.5911 c=4.7766 alpha=80.32 beta=80.32 gamma=35.02
Sites, in units of the cell vectors:
1 Co 0.2500 0.2500 0.2500
2 Pt 0.9986 0.9986 0.0046
3 Pt 0.5014 0.5014 0.4954
4 Zn 0.7500 0.7500 0.7500

Calculated values
energy of formation = -0.8 eV/f.u.
E_tot = -5.3079 eV/atom
magnetization = 1.815 μB per formula unit

***

Record 6
Compound: ZnCoPt2
Source: Alexandria
Functional: GGA-PBE
Structure: optimized geometry

Unit cell a=4.3414 b=4.3414 c=4.3414 alpha=60.00 beta=60.00 gamma=60.00
Sites, in units of the cell vectors:
1 Co 0.5000 0.5000 0.5000
2 Pt 0.0000 0.0000 0.0000
3 Pt 0.7500 0.7500 0.7500
4 Zn 0.2500 0.2500 0.2500

Calculated values
energy of formation = -0.4 eV/f.u.
E_tot = -5.2036 eV/atom
magnetization = 2.234 μB per formula unit

***

Record 7
Compound: ZnCoPt2
Source: Alexandria
Functional: GGA-PBE
Structure: optimized geometry

Unit cell a=4.7394 b=4.7394 c=4.7394 alpha=132.53 beta=132.53 gamma=69.40
Sites, in units of the cell vectors:
1 Co 0.7500 0.2500 0.5000
2 Pt 0.0000 0.0000 0.0000
3 Pt 0.2500 0.7500 0.5000
4 Zn 0.5000 0.5000 0.0000

Calculated values
energy of formation = -0.8 eV/f.u.
E_tot = -5.3183 eV/atom
magnetization = 2.229 μB per formula unit

***

Record 8
Compound: ZnCoPt2
Source: Alexandria
Functional: GGA-PBE
Structure: optimized geometry

Unit cell a=3.8236 b=3.8236 c=9.0612 alpha=77.82 beta=77.82 gamma=90.00
Sites, in units of the cell vectors:
1 Zn 0.0000 0.0000 0.0000
2 Zn 0.7500 0.2500 0.5000
3 Co 0.5000 0.5000 0.0000
4 Co 0.2500 0.7500 0.5000
5 Pt 0.6197 0.1250 0.2500
6 Pt 0.1303 0.6250 0.2500
7 Pt 0.3750 0.3803 0.7500
8 Pt 0.8750 0.8697 0.7500

Calculated values
energy of formation = 0.5 eV/f.u.
E_tot = -4.9834 eV/atom
magnetization = 2.152 μB per formula unit

***

Record 9
Compound: ZnCoPt2
Source: Alexandria
Functional: GGA-PBE
Structure: optimized geometry

Unit cell a=2.7381 b=3.8005 c=5.4691 alpha=90.00 beta=90.00 gamma=90.00
Sites, in units of the cell vectors:
1 Co 0.5000 0.5000 0.7626
2 Pt 0.0000 0.0000 0.9699
3 Pt 0.5000 0.5000 0.2707
4 Zn 0.0000 0.0000 0.4969

Calculated values
energy of formation = -0.8 eV/f.u.
E_tot = -5.3266 eV/atom
magnetization = 2.078 μB per formula unit

***

Record 10
Compound: Zn2CoPt8
Source: Alexandria
Functional: GGA-PBE
Structure: optimized geometry

Unit cell a=4.0922 b=6.5898 c=6.5898 alpha=105.11 beta=90.04 gamma=90.04
Sites, in units of the cell vectors:
1 Zn 0.0000 0.6202 0.3798
2 Zn 0.0000 0.3798 0.6202
3 Co 0.5000 0.0000 0.0000
4 Pt 0.9996 0.9579 0.6939
5 Pt 0.9996 0.6939 0.9579
6 Pt 0.4993 0.6725 0.6725
7 Pt 0.5000 0.2424 0.7577
8 Pt 0.5000 0.7576 0.2423
9 Pt 0.5007 0.3275 0.3275
10 Pt 0.0004 0.3061 0.0421
11 Pt 0.0004 0.0421 0.3061

Calculated values
energy of formation = -0.6 eV/f.u.
E_tot = -5.3210 eV/atom
magnetization = 2.600 μB per formula unit

***

Record 11
Compound: ZnCoPt2
Source: Alexandria
Functional: GGA-PBE
Structure: optimized geometry

Unit cell a=2.7859 b=3.6520 c=5.5508 alpha=90.00 beta=90.00 gamma=90.00
Sites, in units of the cell vectors:
1 Zn 0.5000 0.5000 0.2500
2 Co 0.5000 0.5000 0.7500
3 Pt 0.0000 0.0000 0.9945
4 Pt 0.0000 0.0000 0.5055

Calculated values
energy of formation = -1.1 eV/f.u.
E_tot = -5.3987 eV/atom
magnetization = 2.327 μB per formula unit

***

Record 12
Compound: ZnCoPt2
Source: Alexandria
Functional: GGA-PBE
Structure: optimized geometry

Unit cell a=4.4183 b=2.7786 c=4.6012 alpha=90.00 beta=90.00 gamma=90.00
Sites, in units of the cell vectors:
1 Zn 0.0000 0.6248 0.4418
2 Co 0.5000 0.6251 0.8084
3 Pt 0.0000 0.1251 0.9334
4 Pt 0.5000 0.1250 0.3165

Calculated values
energy of formation = -1.0 eV/f.u.
E_tot = -5.3664 eV/atom
magnetization = 2.342 μB per formula unit

***

Q: Look up the energy of formation of the tenth one.
A: -0.6 eV/f.u.